No. 1
{
  "formula": "Ba2Cu2Si",
  "functional": "PBE",
  "state": "optimized geometry",
  "formation_energy_uncorrected_ev_per_atom": -0.1786,
  "relative_energy_mev_per_atom": 0,
  "cell": [[-2.801, 2.986, 1.021], [-0.820, 0.824, 4.055], [5.914, 7.920, 1.781]],
  "species": ["Si", "Ba", "Ba", "Cu", "Cu"],
  "frac_coords": [[0.000, 0.000, 0.000], [0.573, 0.573, 0.281], [0.427, 0.427, 0.719], [0.681, 0.681, 0.958], [0.319, 0.319, 0.042]]
}

No. 2
{
  "formula": "CdAuCl2",
  "functional": "PBE",
  "state": "optimized geometry",
  "formation_energy_uncorrected_ev_per_atom": -0.1753,
  "relative_energy_mev_per_atom": 250,
  "cell": [[3.214, 0.000, 0.000], [0.000, 3.214, 0.000], [0.000, 0.000, 10.313]],
  "species": ["Cd", "Cl", "Cl", "Au"],
  "frac_coords": [[0.500, 0.500, 0.750], [0.000, 0.000, 0.907], [0.000, 0.000, 0.593], [0.500, 0.500, 0.250]]
}

No. 3
{
  "formula": "RbVIr3",
  "functional": "PBE",
  "state": "optimized geometry",
  "relative_energy_mev_per_atom": 2135,
  "cell": [[-3.009, -3.535, -1.207], [1.807, -2.735, 3.502], [-3.269, 1.742, 3.047]],
  "species": ["Rb", "V", "Ir", "Ir", "Ir"],
  "frac_coords": [[0.000, 0.000, 0.000], [0.500, 0.500, 0.500], [0.000, 0.000, 0.500], [0.500, 0.000, 0.000], [0.000, 0.500, 0.000]]
}

No. 4
{
  "formula": "SrCa2SnH",
  "functional": "PBE",
  "state": "optimized geometry",
  "final_energy_ev_per_atom": -3.07,
  "cell": [[5.067, 0.000, 0.000], [0.000, 5.080, 0.000], [0.000, 0.000, 5.067]],
  "species": ["Ca", "Ca", "H", "Sr", "Sn"],
  "frac_coords": [[0.000, 0.000, 0.500], [0.500, 0.000, 0.000], [0.000, 0.000, 0.000], [0.000, 0.500, 0.000], [0.500, 0.500, 0.500]]
}

No. 5
{
  "formula": "TcHOs2W",
  "functional": "PBE",
  "state": "optimized geometry",
  "relative_energy_mev_per_atom": 50,
  "cell": [[3.921, 0.000, 0.000], [0.000, 3.921, 0.000], [0.000, 0.000, 3.996]],
  "species": ["Os", "Os", "Tc", "H", "W"],
  "frac_coords": [[0.500, 0.000, 0.000], [0.000, 0.500, 0.000], [0.500, 0.500, 0.500], [0.000, 0.000, 0.000], [0.000, 0.000, 0.500]]
}

No. 6
{
  "formula": "Li3Dy3ScTe8",
  "functional": "PBE",
  "state": "optimized geometry",
  "formation_energy_uncorrected_ev_per_atom": -1.2086,
  "cell": [[8.545, 0.000, 0.000], [-4.272, 7.400, -0.029], [0.000, -4.909, 7.105]],
  "species": ["Te", "Te", "Te", "Te", "Te", "Te", "Te", "Te", "Dy", "Dy", "Dy", "Li", "Li", "Li", "Sc"],
  "frac_coords": [[0.247, 0.494, 0.241], [0.244, 0.005, 0.749], [0.239, 0.995, 0.251], [0.753, 0.506, 0.759], [0.756, 0.995, 0.251], [0.761, 0.005, 0.749], [0.244, 0.489, 0.749], [0.756, 0.511, 0.251], [0.500, 0.000, 0.500], [0.500, 0.500, 0.500], [0.000, 0.500, 0.500], [0.000, 0.000, 0.000], [0.000, 0.500, 0.000], [0.500, 0.500, 0.000], [0.000, 0.000, 0.500]]
}

Copy entry 5 word for word.
{
  "formula": "TcHOs2W",
  "functional": "PBE",
  "state": "optimized geometry",
  "relative_energy_mev_per_atom": 50,
  "cell": [[3.921, 0.000, 0.000], [0.000, 3.921, 0.000], [0.000, 0.000, 3.996]],
  "species": ["Os", "Os", "Tc", "H", "W"],
  "frac_coords": [[0.500, 0.000, 0.000], [0.000, 0.500, 0.000], [0.500, 0.500, 0.500], [0.000, 0.000, 0.000], [0.000, 0.000, 0.500]]
}